Material: CsPa2Te7
Method: DFT, GGA-PBE
State: optimized geometry

POSCAR file:
```
CsPa2Te7
1.0
4.7010 -7.2471 0.0000
4.7010 7.2471 0.0000
0.0000 0.0000 5.9358
Cs Pa Te
1 2 7
Direct
0.0000 0.0000 0.0000
0.2896 0.7104 0.5000
0.7104 0.2896 0.5000
0.0826 0.3316 0.5000
0.2858 0.7142 0.0000
0.3316 0.0826 0.5000
0.5000 0.5000 0.5000
0.6684 0.9174 0.5000
0.7142 0.2858 0.0000
0.9174 0.6684 0.5000
```

Summary:
**ΔE_f (raw)**: -64 kJ per mole of atoms
**N(E_F)**: 6.15 states/eV/cell